The following is a PBE calculation of a relaxed ZrFeSbI2 crystal, from Alexandria.

Unit cell a=5.0645 b=5.0645 c=5.0448 alpha=90.00 beta=90.00 gamma=90.00
With the nearest neighbours (Å) after each atom.
Space group P4/mmm (No. 123)
One atom of each set of equivalent atoms:
Zr 0.0000 0.0000 0.0000  8 I 3.57, 4 Sb 3.58
Fe 0.5000 0.5000 0.5000  2 Sb 2.52, 4 I 2.53
Sb 0.5000 0.5000 0.0000  2 Fe 2.52
I 0.0000 0.5000 0.5000  2 Fe 2.53

Properties
Polymorph energy (0 for the lowest one) (meV/atom): 110
Total DFT energy (no corrections) (eV per atom): -4.16
Formation energy from raw total energies (eV per atom): 0.689